# La5Th3

A relaxed structure of La5Th3 (GGA-PBE, Alexandria via LeMat-Bulk).

extended XYZ file:
```
8
Lattice="-0.799 -1.461 -3.217 0.338 -3.315 1.421 -20.547 0.075 5.067" Properties=species:S:1:pos:R:3 pbc="T T T"
La -12.886 -2.342 2.223
La -15.624 0.057 3.853
La 0.000 0.000 0.000
La -4.924 0.018 1.214
La -8.122 -2.359 1.048
Th -2.729 -2.379 -0.282
Th -18.279 -2.322 3.553
Th -10.274 0.038 2.534
```

## Properties
Volume = 277.7 Å³ per cell
D(E_F) = 12.92 states/eV/f.u.
Magnetization = 0.00 μB per cell
ΔE_f = 0.03 eV per atom


# LaTh7

A relaxed structure of LaTh7 (GGA-PBE, Alexandria via LeMat-Bulk).

extended XYZ file:
```
8
Lattice="6.199 0.000 3.579 2.066 5.844 3.579 0.000 0.000 7.158" Properties=species:S:1:pos:R:3 pbc="T T T"
Th 3.100 0.000 1.790
Th 4.133 2.922 3.579
Th 0.000 0.000 3.579
Th 1.033 2.922 1.790
Th 3.100 0.000 5.369
Th 4.133 2.922 7.158
Th 1.033 2.922 5.369
La 0.000 0.000 0.000
```

## Properties
Volume = 259.3 Å³ per cell
D(E_F) = 11.14 states/eV/f.u.
Magnetization = 0.00 μB per cell
ΔE_f = 0.02 eV per atom


# LaTh5

A relaxed structure of LaTh5 (GGA-PBE, Alexandria via LeMat-Bulk).

extended XYZ file:
```
6
Lattice="-2.109 -1.849 2.239 2.645 -2.366 0.537 5.093 8.344 11.686" Properties=species:S:1:pos:R:3 pbc="T T T"
Th 3.431 5.621 7.873
Th 0.000 0.000 0.000
Th 4.525 4.867 11.157
Th 1.103 -0.739 3.305
Th 1.662 2.723 3.813
La 2.814 2.064 7.231
```

## Properties
Volume = 196.3 Å³ per cell
D(E_F) = 10.27 states/eV/f.u.
Magnetization = 0.00 μB per cell
ΔE_f = 0.03 eV per atom
Relative energy among the computed polymorphs = 0.0 meV per atom


# La3Th2

A relaxed structure of La3Th2 (GGA-PBE, Alexandria via LeMat-Bulk).

extended XYZ file:
```
10
Lattice="-0.173 -1.771 -6.737 5.899 -1.651 -3.321 0.823 -9.489 -1.130" Properties=species:S:1:pos:R:3 pbc="T T T"
La 4.998 -8.798 -5.025
La 4.589 -4.054 -4.459
La 1.959 -8.857 -6.729
La 4.497 -4.939 -7.827
La 2.051 -7.972 -3.361
La 1.550 -4.112 -6.162
Th 1.441 -4.736 -2.395
Th 1.833 -1.719 -3.198
Th 5.107 -8.175 -8.792
Th 4.715 -11.191 -7.989
```

## Properties
Volume = 366.1 Å³ per cell
D(E_F) = 7.71 states/eV/f.u.
Magnetization = 0.00 μB per cell
ΔE_f = 0.29 eV per atom
Relative energy among the computed polymorphs = 266.6 meV per atom


# LaThTi

A relaxed structure of LaThTi (GGA-PBE, Alexandria via LeMat-Bulk).

extended XYZ file:
```
6
Lattice="3.400 0.000 0.000 -1.700 2.934 0.000 0.000 0.000 16.705" Properties=species:S:1:pos:R:3 pbc="T T T"
Ti 0.000 1.602 14.163
Ti 0.000 1.602 2.542
La 1.700 0.678 5.207
La 1.700 0.678 11.498
Th 0.000 1.635 8.353
Th 1.700 0.651 0.000
```

## Properties
Volume = 166.7 Å³ per cell
D(E_F) = 5.25 states/eV/f.u.
Magnetization = 0.00 μB per cell
ΔE_f = 0.31 eV per atom


# LaTh2Ti

A relaxed structure of LaTh2Ti (GGA-PBE, Alexandria via LeMat-Bulk).

extended XYZ file:
```
4
Lattice="3.501 0.000 0.000 1.751 3.032 0.000 1.751 1.011 10.802" Properties=species:S:1:pos:R:3 pbc="T T T"
Th 5.252 3.032 7.858
Th 1.751 1.011 2.943
Ti 3.501 2.022 5.401
La 0.000 0.000 0.000
```

## Properties
Volume = 114.7 Å³ per cell
D(E_F) = 7.32 states/eV/f.u.
Magnetization = 0.00 μB per cell
ΔE_f = 0.21 eV per atom
Relative energy among the computed polymorphs = 77.6 meV per atom


# LaTh2Ti

A relaxed structure of LaTh2Ti (GGA-PBE, Alexandria via LeMat-Bulk).

extended XYZ file:
```
4
Lattice="-1.855 -2.448 -1.924 2.691 -0.134 -2.424 3.801 -6.479 4.578" Properties=species:S:1:pos:R:3 pbc="T T T"
La 2.319 -4.530 0.115
Ti 0.418 -1.291 -2.174
Th 2.989 -5.094 3.599
Th 0.813 -1.385 0.979
```

## Properties
Volume = 115.5 Å³ per cell
D(E_F) = 7.10 states/eV/f.u.
Magnetization = 0.02 μB per cell
ΔE_f = 0.14 eV per atom
Relative energy among the computed polymorphs = 0.0 meV per atom


# LaThTl2

A relaxed structure of LaThTl2 (GGA-PBE, Alexandria via LeMat-Bulk).

extended XYZ file:
```
4
Lattice="-2.705 -2.158 0.996 2.373 -2.363 1.322 -0.356 4.240 8.219" Properties=species:S:1:pos:R:3 pbc="T T T"
Tl -0.088 1.050 2.036
Tl -0.268 3.190 6.183
Th -0.166 -2.261 1.159
La -0.344 -0.141 5.269
```

## Properties
Volume = 120.0 Å³ per cell
D(E_F) = 5.29 states/eV/f.u.
Magnetization = 0.00 μB per cell
ΔE_f = -0.28 eV per atom


# LaThTl4

A relaxed structure of LaThTl4 (GGA-PBE, Alexandria via LeMat-Bulk).

extended XYZ file:
```
6
Lattice="6.271 0.000 0.000 3.136 5.431 0.000 3.136 1.810 5.120" Properties=species:S:1:pos:R:3 pbc="T T T"
Tl 6.271 3.621 0.636
Tl 6.271 1.807 3.202
Tl 4.700 4.528 3.202
Tl 7.842 4.528 3.202
La 3.136 1.810 1.280
Th 0.000 0.000 0.000
```

## Properties
Volume = 174.4 Å³ per cell
D(E_F) = 4.69 states/eV/f.u.
Magnetization = 0.00 μB per cell
ΔE_f = -0.07 eV per atom


# LaThTl

A relaxed structure of LaThTl (GGA-PBE, Alexandria via LeMat-Bulk).

extended XYZ file:
```
3
Lattice="4.227 0.000 0.000 0.000 4.227 0.000 -2.114 -2.114 5.197" Properties=species:S:1:pos:R:3 pbc="T T T"
Tl 2.114 2.114 4.668
La 2.114 2.114 1.127
Th 0.000 0.000 3.040
```

## Properties
Volume = 92.9 Å³ per cell
D(E_F) = 3.60 states/eV/f.u.
Magnetization = 0.00 μB per cell
ΔE_f = -0.11 eV per atom
Relative energy among the computed polymorphs = 81.8 meV per atom


# La6ThTl5

A relaxed structure of La6ThTl5 (GGA-PBE, Alexandria via LeMat-Bulk).

extended XYZ file:
```
12
Lattice="-3.407 3.522 -2.850 -5.269 -8.138 1.881 4.011 5.255 7.337" Properties=species:S:1:pos:R:3 pbc="T T T"
La -2.950 1.932 0.275
La -2.791 -2.141 0.691
La -1.717 -1.293 6.092
La -5.068 -1.829 3.799
La 0.402 2.468 2.569
La -1.875 2.780 5.676
Tl 0.931 0.811 5.527
Tl -2.333 0.319 3.184
Tl 0.892 4.974 5.080
Tl -2.190 -3.694 3.691
Tl -5.558 -4.335 1.287
Th 0.000 0.000 0.000
```

## Properties
Volume = 385.8 Å³ per cell
D(E_F) = 14.62 states/eV/f.u.
Magnetization = 3.61 μB per cell
ΔE_f = -0.29 eV per atom


# LaTh3Tl4

A relaxed structure of LaTh3Tl4 (GGA-PBE, Alexandria via LeMat-Bulk).

extended XYZ file:
```
8
Lattice="3.365 0.000 0.000 0.000 5.968 0.000 0.000 0.000 11.913" Properties=species:S:1:pos:R:3 pbc="T T T"
Th 1.683 0.000 2.982
Th 1.683 0.000 8.930
Th 1.683 2.984 5.956
Tl 0.000 2.984 2.995
Tl 0.000 2.984 8.918
Tl 0.000 0.000 5.956
Tl 0.000 0.000 0.000
La 1.683 2.984 0.000
```

## Properties
Volume = 239.3 Å³ per cell
D(E_F) = 6.30 states/eV/f.u.
Magnetization = 0.38 μB per cell
ΔE_f = -0.17 eV per atom


# LaThTl

A relaxed structure of LaThTl (GGA-PBE, Alexandria via LeMat-Bulk).

extended XYZ file:
```
6
Lattice="4.764 0.000 0.348 0.000 4.776 0.000 -0.647 0.000 8.811" Properties=species:S:1:pos:R:3 pbc="T T T"
Tl 3.427 1.194 2.224
Tl 0.690 3.582 6.934
La 3.026 1.194 7.730
La 1.091 3.582 1.428
Th 3.250 3.582 4.666
Th 0.868 1.194 4.492
```

## Properties
Volume = 201.5 Å³ per cell
D(E_F) = 3.23 states/eV/f.u.
Magnetization = 0.00 μB per cell
ΔE_f = -0.19 eV per atom
Relative energy among the computed polymorphs = 0.0 meV per atom


# La4ThTl

A relaxed structure of La4ThTl (GGA-PBE, Alexandria via LeMat-Bulk).

extended XYZ file:
```
6
Lattice="-4.100 2.436 1.559 -1.986 -3.144 -0.310 2.371 -2.490 10.126" Properties=species:S:1:pos:R:3 pbc="T T T"
La 0.815 -0.858 3.483
La -0.429 -4.776 6.333
La -1.049 -2.445 9.134
La -2.665 -0.753 2.241
Tl -1.857 -1.599 5.688
Th 0.000 0.000 0.000
```

## Properties
Volume = 200.2 Å³ per cell
D(E_F) = 6.99 states/eV/f.u.
Magnetization = 0.00 μB per cell
ΔE_f = -0.12 eV per atom


# LaThTl

A relaxed structure of LaThTl (GGA-PBE, Alexandria via LeMat-Bulk).

extended XYZ file:
```
3
Lattice="-0.549 -0.047 -3.624 2.317 -4.943 -0.287 -5.388 0.450 0.810" Properties=species:S:1:pos:R:3 pbc="T T T"
La -3.016 -1.364 -0.857
Tl -0.634 -3.178 -2.449
Th -0.518 -0.044 -3.419
```

## Properties
Volume = 94.9 Å³ per cell
D(E_F) = 5.48 states/eV/f.u.
Magnetization = 0.13 μB per cell
ΔE_f = 0.02 eV per atom
Relative energy among the computed polymorphs = 207.0 meV per atom


# LaThTl6

A relaxed structure of LaThTl6 (GGA-PBE, Alexandria via LeMat-Bulk).

extended XYZ file:
```
8
Lattice="4.846 0.000 0.000 0.000 4.846 0.000 0.000 0.000 9.712" Properties=species:S:1:pos:R:3 pbc="T T T"
Tl 2.423 0.000 2.439
Tl 2.423 2.423 0.000
Tl 2.423 0.000 7.273
Tl 2.423 2.423 4.856
Tl 0.000 2.423 7.273
Tl 0.000 2.423 2.439
La 0.000 0.000 0.000
Th 0.000 0.000 4.856
```

## Properties
Volume = 228.1 Å³ per cell
D(E_F) = 2.71 states/eV/f.u.
Magnetization = 0.00 μB per cell
ΔE_f = -0.26 eV per atom


# LaThTl2

A relaxed structure of LaThTl2 (GGA-PBE, Alexandria via LeMat-Bulk).

extended XYZ file:
```
4
Lattice="4.605 0.000 0.000 0.000 5.098 0.000 0.000 0.000 5.098" Properties=species:S:1:pos:R:3 pbc="T T T"
La 2.303 0.000 0.000
Th 2.303 2.549 2.549
Tl 0.000 2.549 0.000
Tl 0.000 0.000 2.549
```

## Properties
Volume = 119.7 Å³ per cell
D(E_F) = 4.66 states/eV/f.u.
Magnetization = 0.00 μB per cell
ΔE_f = -0.26 eV per atom


# La9ThTl2

A relaxed structure of La9ThTl2 (GGA-PBE, Alexandria via LeMat-Bulk).

extended XYZ file:
```
12
Lattice="-1.709 3.676 3.101 -4.800 -1.504 -0.863 0.881 -9.650 11.927" Properties=species:S:1:pos:R:3 pbc="T T T"
La -0.708 0.236 3.531
La -0.120 -6.210 11.497
La -1.665 -8.800 9.515
La -2.957 -2.179 5.154
La -2.254 -2.355 1.549
La -1.960 -5.577 5.532
La -2.672 -5.299 9.011
La -0.414 -2.987 7.514
La -3.255 1.086 1.119
Tl 0.585 -6.411 7.924
Tl 0.296 -3.239 4.003
Th 0.000 0.000 0.000
```

## Properties
Volume = 400.3 Å³ per cell
D(E_F) = 16.74 states/eV/f.u.
Magnetization = 0.00 μB per cell
ΔE_f = -0.15 eV per atom


# La5ThTl3

A relaxed structure of La5ThTl3 (GGA-PBE, Alexandria via LeMat-Bulk).

extended XYZ file:
```
18
Lattice="-3.774 -5.095 2.957 -3.155 -2.802 -8.854 8.188 -3.891 3.746" Properties=species:S:1:pos:R:3 pbc="T T T"
Th 0.000 0.000 0.000
Th -1.887 -2.548 1.479
La -1.261 -5.713 -3.175
La 1.408 -6.693 -5.595
La 2.520 -6.075 1.025
La -0.149 -5.096 3.445
La 4.407 -3.528 -0.454
La -3.065 -3.159 -5.216
La 0.554 -8.323 -1.217
La 0.626 -3.165 -4.654
La -3.863 -4.739 -0.681
La 0.705 -3.466 -0.933
Tl -4.924 -5.681 -3.658
Tl 2.398 -5.717 -2.650
Tl -1.139 -6.071 0.500
Tl -1.346 -5.384 -6.854
Tl 2.605 -6.405 4.704
Tl -2.005 -2.216 -2.238
```

## Properties
Volume = 583.0 Å³ per cell
D(E_F) = 11.16 states/eV/f.u.
Magnetization = 3.33 μB per cell
ΔE_f = -0.25 eV per atom


# La2Th2Tl7

A relaxed structure of La2Th2Tl7 (GGA-PBE, Alexandria via LeMat-Bulk).

extended XYZ file:
```
11
Lattice="-6.929 1.959 5.381 -0.921 -3.598 -3.750 1.854 -8.525 2.165" Properties=species:S:1:pos:R:3 pbc="T T T"
Tl -4.873 -1.849 0.383
Tl -2.538 -6.269 1.175
Tl -1.122 -8.315 3.414
Tl -6.741 -4.265 3.160
Tl 0.000 0.000 0.000
Tl -3.458 -3.895 2.622
Tl 0.745 -5.899 0.637
Th -4.835 -1.395 3.871
Th -1.161 -8.769 -0.074
La -1.573 -3.238 -0.221
La -4.423 -6.926 4.018
```

## Properties
Volume = 343.9 Å³ per cell
D(E_F) = 10.00 states/eV/f.u.
Magnetization = 0.00 μB per cell
ΔE_f = -0.08 eV per atom


# La3ThTl4

A relaxed structure of La3ThTl4 (GGA-PBE, Alexandria via LeMat-Bulk).

extended XYZ file:
```
8
Lattice="-1.007 -3.489 0.166 0.972 -0.446 -3.475 17.018 -4.657 5.357" Properties=species:S:1:pos:R:3 pbc="T T T"
Tl 14.925 -4.085 4.698
Tl 10.651 -2.915 3.353
Tl 6.367 -1.742 2.004
Tl 2.092 -0.573 0.659
La 8.491 -4.296 1.024
La 12.783 -5.471 2.375
La 4.199 -3.122 -0.327
Th -0.018 -1.968 -1.654
```

## Properties
Volume = 243.7 Å³ per cell
D(E_F) = 8.70 states/eV/f.u.
Magnetization = 0.00 μB per cell
ΔE_f = -0.35 eV per atom


# La4ThTl3

A relaxed structure of La4ThTl3 (GGA-PBE, Alexandria via LeMat-Bulk).

extended XYZ file:
```
8
Lattice="-2.802 1.631 1.815 -0.090 -2.831 2.404 12.109 8.785 10.801" Properties=species:S:1:pos:R:3 pbc="T T T"
La 1.602 1.162 1.429
La 7.540 5.470 6.725
La 10.507 7.622 9.372
La 4.569 3.315 4.076
Th -1.446 -0.600 2.110
Tl 4.608 3.792 7.510
Tl 7.569 5.940 10.151
Tl 1.647 1.644 4.869
```

## Properties
Volume = 254.7 Å³ per cell
D(E_F) = 6.71 states/eV/f.u.
Magnetization = 0.00 μB per cell
ΔE_f = -0.31 eV per atom


# LaTmThTl

A relaxed structure of LaTmThTl (GGA-PBE, Alexandria via LeMat-Bulk).

extended XYZ file:
```
4
Lattice="-3.606 4.027 -1.451 -4.012 1.583 3.568 0.267 5.018 2.465" Properties=species:S:1:pos:R:3 pbc="T T T"
Th -1.838 2.657 1.145
Tm -3.675 5.314 2.291
La -5.513 7.970 3.436
Tl 0.000 0.000 0.000
```

## Properties
Volume = 124.0 Å³ per cell
D(E_F) = 5.03 states/eV/f.u.
Magnetization = 0.00 μB per cell
ΔE_f = 0.01 eV per atom


# LaThTlZn

A relaxed structure of LaThTlZn (GGA-PBE, Alexandria via LeMat-Bulk).

extended XYZ file:
```
4
Lattice="5.433 0.000 0.000 2.717 4.705 0.000 2.717 1.568 4.436" Properties=species:S:1:pos:R:3 pbc="T T T"
La 2.717 1.568 1.109
Tl 5.433 3.137 2.218
Th 8.150 4.705 3.327
Zn 0.000 0.000 0.000
```

## Properties
Volume = 113.4 Å³ per cell
D(E_F) = 4.63 states/eV/f.u.
Magnetization = 0.00 μB per cell
ΔE_f = -0.19 eV per atom


# La2Tm6Th3

A relaxed structure of La2Tm6Th3 (GGA-PBE, Alexandria via LeMat-Bulk).

extended XYZ file:
```
11
Lattice="-1.465 1.810 5.609 3.240 -2.103 4.813 5.753 10.474 4.305" Properties=species:S:1:pos:R:3 pbc="T T T"
La 4.917 4.042 6.359
La 2.611 6.139 8.368
Tm 5.071 7.623 6.104
Tm 1.204 2.696 1.657
Tm 2.458 2.559 8.623
Tm 3.084 9.588 8.257
Tm 1.826 2.686 5.129
Tm 5.702 7.495 9.598
Th 0.000 0.000 0.000
Th 0.602 -0.105 3.479
Th 1.174 -0.187 6.943
```

## Properties
Volume = 370.2 Å³ per cell
D(E_F) = 15.37 states/eV/f.u.
Magnetization = 0.00 μB per cell
ΔE_f = 0.15 eV per atom